[1]
Compound: BaCr3
Source: the Alexandria database
Functional: PBE-GGA
Structure: optimized geometry

a b c (Å): 7.7206 7.7206 7.9002
angles (deg): 90.00 90.00 120.00
Sites, in units of the cell vectors:
Ba (0.0000, 0.0000, 0.0000)
Ba (0.0000, 0.0000, 0.5000)
Ba (0.3333, 0.6667, 0.2500)
Ba (0.6667, 0.3333, 0.7500)
Cr (0.0000, 0.5000, 0.0000)
Cr (0.0000, 0.5000, 0.5000)
Cr (0.2152, 0.4305, 0.7500)
Cr (0.2152, 0.7848, 0.7500)
Cr (0.4305, 0.2152, 0.2500)
Cr (0.5000, 0.0000, 0.0000)
Cr (0.5000, 0.0000, 0.5000)
Cr (0.5000, 0.5000, 0.0000)
Cr (0.5000, 0.5000, 0.5000)
Cr (0.5695, 0.7848, 0.7500)
Cr (0.7848, 0.2152, 0.2500)
Cr (0.7848, 0.5695, 0.2500)

Calculated values
E above lowest polymorph	338	meV/atom
V	25.5	A^3/atom
N(E_F)	11.77	states/eV per cell
calculated formation energy	1.08	eV per atom
raw total energy	-6.615	eV per atom

***

[2]
Compound: Al2FeRuRh
Source: the Alexandria database
Functional: PBE-GGA
Structure: optimized geometry

a b c (Å): 4.4617 4.4617 4.6026
angles (deg): 90.00 90.00 90.00
Sites, in units of the cell vectors:
Al (0.0000, 0.5000, 0.0000)
Al (0.5000, 0.0000, 0.0000)
Fe (0.0000, 0.0000, 0.5000)
Ru (0.5000, 0.5000, 0.5000)
Rh (0.0000, 0.0000, 0.0000)

Calculated values
V	18.3	A^3/atom
N(E_F)	4.23	states/eV per cell
calculated formation energy	0.70	eV per atom
raw total energy	-5.819	eV per atom

***

[3]
Compound: Pr2NdTh
Source: the Alexandria database
Functional: PBE-GGA
Structure: optimized geometry

a b c (Å): 5.1794 5.1794 5.1857
angles (deg): 90.00 90.00 90.00
Sites, in units of the cell vectors:
Pr (0.0000, 0.5000, 0.0000)
Pr (0.5000, 0.0000, 0.0000)
Nd (0.0000, 0.0000, 0.5000)
Th (0.5000, 0.5000, 0.5000)

Calculated values
E above lowest polymorph	38	meV/atom
V	34.8	A^3/atom
N(E_F)	5.04	states/eV per cell
calculated formation energy	0.07	eV per atom
raw total energy	-5.369	eV per atom

***

[4]
Compound: Ba3Cu2RuO9
Source: the Alexandria database
Functional: PBE-GGA
Structure: optimized geometry

a b c (Å): 5.7187 5.7187 7.0987
angles (deg): 90.00 90.00 120.00
Sites, in units of the cell vectors:
Ba (0.0000, 0.0000, 0.0000)
Ba (0.3333, 0.6667, 0.6751)
Ba (0.6667, 0.3333, 0.3249)
Cu (0.3333, 0.6667, 0.1489)
Cu (0.6667, 0.3333, 0.8511)
Ru (0.0000, 0.0000, 0.5000)
O (0.0000, 0.5000, 0.0000)
O (0.1603, 0.3206, 0.3440)
O (0.1603, 0.8397, 0.3440)
O (0.3206, 0.1603, 0.6560)
O (0.5000, 0.0000, 0.0000)
O (0.5000, 0.5000, 0.0000)
O (0.6794, 0.8397, 0.3440)
O (0.8397, 0.1603, 0.6560)
O (0.8397, 0.6794, 0.6560)

Calculated values
ΔE_f (raw)	-22.68	eV/f.u.
V	13.4	A^3/atom
N(E_F)	7.73	states/eV per cell
raw total energy	-6.036	eV per atom

***

[5]
Compound: CeMg2Pa
Source: the Alexandria database
Functional: PBE-GGA
Structure: optimized geometry

a b c (Å): 12.5760 12.5760 12.5760
angles (deg): 14.02 14.02 14.02
Sites, in units of the cell vectors:
Ce (0.0000, 0.0000, 0.0000)
Mg (0.4130, 0.4130, 0.4130)
Mg (0.5870, 0.5870, 0.5870)
Pa (0.5000, 0.5000, 0.5000)

Calculated values
V	25.4	A^3/atom
N(E_F)	7.53	states/eV per cell
calculated formation energy	0.25	eV per atom
raw total energy	-4.407	eV per atom

***

[6]
Compound: Np3N4
Source: the Alexandria database
Functional: PBE-GGA
Structure: optimized geometry

a b c (Å): 6.1891 6.1891 6.1891
angles (deg): 109.47 109.47 109.47
Sites, in units of the cell vectors:
Np (0.1250, 0.7500, 0.8750)
Np (0.2500, 0.6250, 0.3750)
Np (0.3750, 0.2500, 0.6250)
Np (0.6250, 0.3750, 0.2500)
Np (0.7500, 0.8750, 0.1250)
Np (0.8750, 0.1250, 0.7500)
N (0.0000, 0.3668, 0.5000)
N (0.0000, 0.8668, 0.5000)
N (0.1332, 0.1332, 0.1332)
N (0.3668, 0.5000, 0.0000)
N (0.5000, 0.0000, 0.3668)
N (0.5000, 0.0000, 0.8668)
N (0.6332, 0.6332, 0.6332)
N (0.8668, 0.5000, 0.0000)

Calculated values
ΔE_f (raw)	-7.15	eV/f.u.
V	13.0	A^3/atom
N(E_F)	24.93	states/eV per cell
raw total energy	-11.324	eV per atom

***

[7]
Compound: TaBrCl2
Source: the Alexandria database
Functional: PBE-GGA
Structure: optimized geometry

a b c (Å): 9.4629 9.4629 9.4629
angles (deg): 19.82 19.82 19.82
Sites, in units of the cell vectors:
Ta (0.0000, 0.0000, 0.0000)
Br (0.7339, 0.7339, 0.7339)
Cl (0.2714, 0.2714, 0.2714)
Cl (0.4996, 0.4996, 0.4996)

Calculated values
E above lowest polymorph	601	meV/atom
ΔE_f (raw)	-1.58	eV/f.u.
V	21.3	A^3/atom
N(E_F)	3.40	states/eV per cell
raw total energy	-4.699	eV per atom

***

[8]
Compound: Hf2FeSi
Source: the Alexandria database
Functional: PBE-GGA
Structure: optimized geometry

a b c (Å): 5.2433 5.2900 5.2974
angles (deg): 74.89 74.94 74.85
Sites, in units of the cell vectors:
Hf (0.0000, 0.0000, 0.0000)
Hf (0.1423, 0.5697, 0.6121)
Hf (0.4114, 0.3881, 0.0841)
Hf (0.5792, 0.9379, 0.6260)
Fe (0.1199, 0.0934, 0.4702)
Fe (0.8874, 0.5078, 0.1262)
Si (0.4802, 0.8505, 0.1720)
Si (0.7075, 0.4027, 0.5762)

Calculated values
ΔE_f (raw)	-1.94	eV/f.u.
V	16.7	A^3/atom
N(E_F)	5.78	states/eV per cell
raw total energy	-8.933	eV per atom